[1]
# AcLa6PmY2 PBE relaxed
# DFT total energy (eV per atom): -5.03
# Formation enthalpy at 0 K (eV per atom): 0.11
data_AcLa6PmY2
_symmetry_space_group_name_H-M 'C 1 2/c 1'
_symmetry_Int_Tables_number 15
_cell_length_a 9.590
_cell_length_b 15.545
_cell_length_c 9.984
_cell_angle_alpha 90.00
_cell_angle_beta 96.88
_cell_angle_gamma 90.00
loop_
_symmetry_equiv_pos_as_xyz
'x,y,z'
'-x,-y,-z'
'-x,y,-z+1/2'
'x,-y,z+1/2'
'x+1/2,y+1/2,z'
'-x+1/2,-y+1/2,-z'
'-x+1/2,y+1/2,-z+1/2'
'x+1/2,-y+1/2,z+1/2'
loop_
_atom_site_label
_atom_site_type_symbol
_atom_site_fract_x
_atom_site_fract_y
_atom_site_fract_z
Ac1 Ac 0.000 0.031 0.250
La1 La 0.070 0.177 0.945
La2 La 0.094 0.390 0.122
La3 La 0.221 0.227 0.316
Pm1 Pm 0.000 0.408 0.750
Y1 Y 0.249 0.452 0.452

[2]
# AcLaPm2Y PBE relaxed
# DFT total energy (eV per atom): -4.96
# Formation enthalpy at 0 K (eV per atom): 0.04
data_AcLaPm2Y
_symmetry_space_group_name_H-M 'P 1 21/m 1'
_symmetry_Int_Tables_number 11
_cell_length_a 6.522
_cell_length_b 5.990
_cell_length_c 9.967
_cell_angle_alpha 90.00
_cell_angle_beta 108.91
_cell_angle_gamma 90.00
loop_
_symmetry_equiv_pos_as_xyz
'x,y,z'
'-x,-y,-z'
'-x,y+1/2,-z'
'x,-y+1/2,z'
loop_
_atom_site_label
_atom_site_type_symbol
_atom_site_fract_x
_atom_site_fract_y
_atom_site_fract_z
Ac1 Ac 0.234 0.250 0.302
La1 La 0.046 0.250 0.901
Pm1 Pm 0.366 0.750 0.903
Pm2 Pm 0.430 0.250 0.700
Y1 Y 0.164 0.750 0.502

[3]
# Ac2La2PmY PBE relaxed
# DFT total energy (eV per atom): -4.81
# Formation enthalpy at 0 K (eV per atom): 0.07
data_Ac2La2PmY
_symmetry_space_group_name_H-M 'P m c 21'
_symmetry_Int_Tables_number 26
_cell_length_a 5.994
_cell_length_b 10.347
_cell_length_c 7.405
_cell_angle_alpha 90.00
_cell_angle_beta 90.00
_cell_angle_gamma 90.00
loop_
_symmetry_equiv_pos_as_xyz
'x,y,z'
'-x,-y,z+1/2'
'-x,y,z'
'x,-y,z+1/2'
loop_
_atom_site_label
_atom_site_type_symbol
_atom_site_fract_x
_atom_site_fract_y
_atom_site_fract_z
Ac1 Ac 0.000 0.000 0.000
Ac2 Ac 0.500 0.175 0.250
La1 La 0.000 0.342 0.250
La2 La 0.500 0.171 0.750
Pm1 Pm 0.500 0.500 0.000
Y1 Y 0.000 0.337 0.750

[4]
# Ac2LaPmY PBE relaxed
# DFT total energy (eV per atom): -4.61
# Formation enthalpy at 0 K (eV per atom): 0.26
data_Ac2LaPmY
_symmetry_space_group_name_H-M 'P m m a'
_symmetry_Int_Tables_number 51
_cell_length_a 6.490
_cell_length_b 9.077
_cell_length_c 6.802
_cell_angle_alpha 90.00
_cell_angle_beta 90.00
_cell_angle_gamma 90.00
loop_
_symmetry_equiv_pos_as_xyz
'x,y,z'
'-x,-y,-z'
'-x+1/2,-y,z'
'x+1/2,y,-z'
'x+1/2,-y,-z'
'-x+1/2,y,z'
'-x,y,-z'
'x,-y,z'
loop_
_atom_site_label
_atom_site_type_symbol
_atom_site_fract_x
_atom_site_fract_y
_atom_site_fract_z
Ac1 Ac 0.250 0.200 0.206
La1 La 0.250 0.500 0.925
Pm1 Pm 0.000 0.500 0.500
Y1 Y 0.250 0.000 0.676

[5]
# AcLa2PmY2 PBE relaxed
# DFT total energy (eV per atom): -5.01
# Formation enthalpy at 0 K (eV per atom): 0.27
data_AcLa2PmY2
_symmetry_space_group_name_H-M 'P n n m'
_symmetry_Int_Tables_number 58
_cell_length_a 6.811
_cell_length_b 18.371
_cell_length_c 3.494
_cell_angle_alpha 90.00
_cell_angle_beta 90.00
_cell_angle_gamma 90.00
loop_
_symmetry_equiv_pos_as_xyz
'x,y,z'
'-x,-y,-z'
'-x,-y,z'
'x,y,-z'
'x+1/2,-y+1/2,-z+1/2'
'-x+1/2,y+1/2,z+1/2'
'-x+1/2,y+1/2,-z+1/2'
'x+1/2,-y+1/2,z+1/2'
loop_
_atom_site_label
_atom_site_type_symbol
_atom_site_fract_x
_atom_site_fract_y
_atom_site_fract_z
Ac1 Ac 0.000 0.000 0.000
La1 La 0.214 0.344 0.500
Pm1 Pm 0.000 0.500 0.000
Y1 Y 0.224 0.178 0.000

[6]
# Ac6La3PmY2 PBE relaxed
# DFT total energy (eV per atom): -4.73
# Formation enthalpy at 0 K (eV per atom): 0.03
data_Ac6La3PmY2
_symmetry_space_group_name_H-M 'C 1 2/m 1'
_symmetry_Int_Tables_number 12
_cell_length_a 6.678
_cell_length_b 11.582
_cell_length_c 12.496
_cell_angle_alpha 90.00
_cell_angle_beta 100.29
_cell_angle_gamma 90.00
loop_
_symmetry_equiv_pos_as_xyz
'x,y,z'
'-x,-y,-z'
'-x,y,-z'
'x,-y,z'
'x+1/2,y+1/2,z'
'-x+1/2,-y+1/2,-z'
'-x+1/2,y+1/2,-z'
'x+1/2,-y+1/2,z'
loop_
_atom_site_label
_atom_site_type_symbol
_atom_site_fract_x
_atom_site_fract_y
_atom_site_fract_z
Ac1 Ac 0.248 0.000 0.244
Ac2 Ac 0.249 0.333 0.245
La1 La 0.000 0.000 0.500
La2 La 0.000 0.334 0.500
Pm1 Pm 0.000 0.500 0.000
Y1 Y 0.000 0.167 0.000

[7]
# AcLaPmZn PBE relaxed
# DFT total energy (eV per atom): -3.65
# Formation enthalpy at 0 K (eV per atom): 0.12
data_AcLaPmZn
_symmetry_space_group_name_H-M 'F -4 3 m'
_symmetry_Int_Tables_number 216
_symmetry_space_group_name_Hall 'F -4 2 3'
_cell_length_a 8.021
_cell_length_b 8.021
_cell_length_c 8.021
_cell_angle_alpha 90.00
_cell_angle_beta 90.00
_cell_angle_gamma 90.00
loop_
_atom_site_label
_atom_site_type_symbol
_atom_site_fract_x
_atom_site_fract_y
_atom_site_fract_z
Ac1 Ac 0.000 0.000 0.000
La1 La 0.250 0.250 0.250
Pm1 Pm 0.250 0.250 0.750
Zn1 Zn 0.000 0.000 0.500

[8]
# AcLaPmZn PBE relaxed
# DFT total energy (eV per atom): -3.91
# Formation enthalpy at 0 K (eV per atom): -0.14
data_AcLaPmZn
_symmetry_space_group_name_H-M 'P 4 m m'
_symmetry_Int_Tables_number 99
_cell_length_a 3.782
_cell_length_b 3.782
_cell_length_c 9.071
_cell_angle_alpha 90.00
_cell_angle_beta 90.00
_cell_angle_gamma 90.00
loop_
_symmetry_equiv_pos_as_xyz
'x,y,z'
'-y,x,z'
'-x,-y,z'
'y,-x,z'
'-x,y,z'
'y,x,z'
'x,-y,z'
'-y,-x,z'
loop_
_atom_site_label
_atom_site_type_symbol
_atom_site_fract_x
_atom_site_fract_y
_atom_site_fract_z
Ac1 Ac 0.000 0.000 0.000
La1 La 0.500 0.500 0.693
Pm1 Pm 0.500 0.500 0.297
Zn1 Zn 0.000 0.000 0.484